Material: DyAg2Pd5
Method: DFT, PBE
State: relaxed

Values from the calculation:
* E above lowest polymorph: 0.0 kJ per mole of atoms

Cell and atoms, written as POSCAR:
```
DyAg2Pd5
1.0
3.974 0.000 -1.093
-0.300 3.963 -1.093
0.214 0.231 8.553
Ag Pd Dy
2 5 1
Cartesian
2.860 3.085 2.629 Ag
1.028 1.108 3.739 Ag
2.505 0.559 1.338 Pd
0.368 2.540 1.338 Pd
3.520 1.653 5.030 Pd
1.837 1.982 -1.093 Pd
1.383 3.635 5.030 Pd
0.000 0.000 0.000 Dy
```